Density functional theory data (PBE with a Hubbard U) for crystalline TaCoI2O at its relaxed geometry.

## Properties
Total DFT energy (no corrections), eV/cell: -25.995
Crystal system: tetragonal

```
data_TaCoI2O
_chemical_formula_sum 'Ta1 Co1 I2 O1'
_space_group_name_H-M_alt 'P 4/m m m'
_space_group_IT_number 123
_space_group_name_Hall '-P 4 2'
_cell_length_a 5.7543
_cell_length_b 5.7543
_cell_length_c 3.8825
_cell_angle_alpha 90.00
_cell_angle_beta 90.00
_cell_angle_gamma 90.00
loop_
_atom_site_label
_atom_site_type_symbol
_atom_site_fract_x
_atom_site_fract_y
_atom_site_fract_z
Ta1 Ta 0.0000 0.0000 0.0000
Co1 Co 0.5000 0.5000 0.5000
I1 I 0.0000 0.5000 0.0000
O1 O 0.0000 0.0000 0.5000
```